Here is crystalline Zr2SiPb at its relaxed geometry from Alexandria via LeMat-Bulk. Energies are from PBE-GGA.

Computed properties:
* raw total energy: -0.2476 hartree per atom
* ΔE_f (raw): -0.180 eV per atom
* energy above the most stable polymorph in this dataset: 254 meV per atom
* spin magnetization: 0.000 μB/cell
* D(E_F): 0.778 states/eV/atom

```
data_Zr2SiPb
_chemical_formula_sum 'Zr2 Si1 Pb1'
_cell_length_a 3.8723
_cell_length_b 3.8723
_cell_length_c 5.8878
_cell_angle_alpha 90.00
_cell_angle_beta 90.00
_cell_angle_gamma 90.00
_symmetry_space_group_name_H-M 'P 4 m m'
_symmetry_Int_Tables_number 99
loop_
_symmetry_equiv_pos_as_xyz
'x,y,z'
'-y,x,z'
'-x,-y,z'
'y,-x,z'
'-x,y,z'
'y,x,z'
'x,-y,z'
'-y,-x,z'
loop_
_atom_site_label
_atom_site_fract_x
_atom_site_fract_y
_atom_site_fract_z
_atom_site_occupancy
Zr1 0.0000 0.0000 0.0000 1
Zr2 0.5000 0.5000 0.2693 1
Si1 0.5000 0.5000 0.8093 1
Pb1 0.0000 0.0000 0.5091 1
```

Here is crystalline BaTlSb2 at its relaxed geometry from Alexandria via LeMat-Bulk. Energies are from PBE-GGA.

Computed properties:
* raw total energy: -0.1320 hartree per atom
* ΔE_f (raw): -0.458 eV per atom
* energy above the most stable polymorph in this dataset: 29 meV per atom
* spin magnetization: 0.000 μB/cell
* D(E_F): 0.378 states/eV/atom

```
data_BaTlSb2
_chemical_formula_sum 'Ba2 Tl2 Sb4'
_cell_length_a 5.0155
_cell_length_b 5.0155
_cell_length_c 10.4015
_cell_angle_alpha 90.00
_cell_angle_beta 90.00
_cell_angle_gamma 90.00
_symmetry_space_group_name_H-M 'I 4/m m m'
_symmetry_Int_Tables_number 139
_symmetry_space_group_name_Hall '-I 4 2'
loop_
_atom_site_label
_atom_site_fract_x
_atom_site_fract_y
_atom_site_fract_z
_atom_site_occupancy
Ba1 0.0000 0.0000 0.0000 1
Tl1 0.0000 0.0000 0.5000 1
Sb1 0.0000 0.5000 0.2500 1
```